[1]
A plane-wave DFT calculation with PBEsol was carried out for crystalline CaCo2GeH at its relaxed geometry.

Structure (POSCAR):
```
CaCo2GeH
1.0
-0.7385 1.1280 4.0417
-3.5666 -2.3307 -0.0013
2.9684 -4.5433 1.8104
H Ge Co Ca
1 1 2 1
direct
0.5000 0.5000 0.5000
0.0000 0.0000 0.0000
0.0000 0.5000 0.0000
0.5000 0.0000 0.0000
0.0000 0.0000 0.5000
```

Calculated values
For the total energy, the calculation gives -4.296 eV/atom. Its density of states at the Fermi level is 0.99 states/eV/atom.

[2]
A plane-wave DFT calculation with PBEsol was carried out for crystalline CaCoGe2O6 at its relaxed geometry.

Structure (POSCAR):
```
CaCoGe2O6
1.0
-1.8299 4.2126 -2.7468
-4.1764 2.7700 4.5201
4.0874 4.8776 2.2470
Ca Co Ge O
2 2 4 12
direct
0.2500 0.3068 0.6932
0.7500 0.6932 0.3068
0.7500 0.0814 0.9186
0.2500 0.9186 0.0814
0.2756 0.3872 0.1821
0.2244 0.8179 0.6128
0.7244 0.6128 0.8179
0.7756 0.1821 0.3872
0.3676 0.2033 0.0140
0.1324 0.9860 0.7967
0.6324 0.7967 0.9860
0.8676 0.0140 0.2033
0.1538 0.6337 0.0948
0.3462 0.9052 0.3663
0.8462 0.3663 0.9052
0.6538 0.0948 0.6337
0.5210 0.3919 0.3293
0.9790 0.6707 0.6081
0.4790 0.6081 0.6707
0.0210 0.3293 0.3919
```

Calculated values
For the total energy, the calculation gives -6.918 eV/atom. Its density of states at the Fermi level is 0.53 states/eV/atom.

[3]
A plane-wave DFT calculation with PBEsol was carried out for crystalline CaCo2GeP at its relaxed geometry.

Structure (POSCAR):
```
CaCo2GeP
1.0
-0.8477 3.3723 2.2761
-4.0196 -0.3348 -1.0010
-0.7798 -2.9829 4.1290
P Ge Co Ca
1 1 2 1
direct
0.0000 0.0000 0.0000
0.5000 0.5000 0.5000
0.0000 0.5000 0.0000
0.5000 0.0000 0.0000
0.0000 0.0000 0.5000
```

Calculated values
For the total energy, the calculation gives -5.530 eV/atom. Its density of states at the Fermi level is 0.92 states/eV/atom. As for the formation energy: 0.686 eV/f.u.

[4]
A plane-wave DFT calculation with PBEsol was carried out for crystalline CaCo2H at its relaxed geometry.

Structure (POSCAR):
```
CaCo2H
1.0
-1.2112 3.0299 2.5614
-4.0081 1.0449 0.2278
-2.1912 -0.9123 3.4022
H Ca Co
1 1 2
direct
0.0000 0.0000 0.0000
0.5000 0.5000 0.5000
0.2500 0.2500 0.2500
0.7500 0.7500 0.7500
```

Calculated values
For the total energy, the calculation gives -4.025 eV/atom. Its density of states at the Fermi level is 1.97 states/eV/atom.